A plane-wave DFT calculation with PBE-GGA was carried out for a geometry-optimized TcSnO3 structure.

```
TcSnO3
1.0
2.805 -1.620 -4.454
-2.805 -1.620 -4.454
0.000 3.239 -4.454
O Sn Tc
6 2 2
direct
0.750 0.325 0.175
0.675 0.825 0.250
0.175 0.750 0.325
0.825 0.250 0.675
0.325 0.175 0.750
0.250 0.675 0.825
0.250 0.250 0.250
0.750 0.750 0.750
0.000 0.000 0.000
0.500 0.500 0.500
```

Computed properties:
- spin magnetization (μB per atom) = 0.310
- uncorrected energy (eV/cell) = -69.6
- density (g/cm3) = 7.2